(1)
Density functional theory data (PBE) for a relaxed YMoIN2 crystal.

The calculation puts the formation energy (no corrections) at 6.29 eV per formula unit. For the spin magnetization, the calculation gives 1.99 μB/cell. The calculation puts the total energy at -5.841 eV per atom. As for the density of states at the Fermi level: 4.24 states/eV/f.u.

Cell lengths 4.451, 4.451, 6.136 Å; angles 90.00, 90.00, 90.00 degrees
Each line ends with the local moment (μB).
Fractional positions:
I1 0.000 0.000 0.500  -0.01
Y1 0.000 0.000 0.000  -0.06
Mo1 0.500 0.500 0.500  3.74
N1 0.000 0.500 0.000  -0.88
N2 0.500 0.000 0.000  -0.88

(2)
Density functional theory data (PBE) for a relaxed CdPW4 crystal.

For the spin magnetization, the calculation gives 0.00 μB/cell. The calculated formation energy comes out at 0.9109 eV per atom. The calculation puts the total energy at -8.779 eV per atom. As for the density of states at the Fermi level: 5.91 states/eV/f.u.

Cell lengths 5.340, 5.340, 5.340 Å; angles 60.00, 60.00, 60.00 degrees
Fractional positions:
Cd1 0.250 0.250 0.250
P1 0.000 0.000 0.000
W1 0.623 0.623 0.130
W2 0.623 0.130 0.623
W3 0.623 0.623 0.623
W4 0.130 0.623 0.623

(3)
Density functional theory data (PBE) for a relaxed Na3Ho3UO8 crystal.

The calculation puts the formation energy (no corrections) at -42.50 eV per formula unit. For the spin magnetization, the calculation gives 2.00 μB/cell. The calculation puts the total energy at -7.410 eV per atom. As for the density of states at the Fermi level: 7.76 states/eV/f.u.

Cell lengths 6.885, 6.882, 6.898 Å; angles 119.96, 90.01, 120.01 degrees
Each line ends with the local moment (μB).
Fractional positions:
Na1 0.000 0.000 0.000  0.00
Na2 0.000 0.500 0.000  0.00
Na3 0.500 0.500 0.000  0.00
Ho1 0.500 0.000 0.500  0.03
Ho2 0.500 0.500 0.500  0.03
Ho3 0.000 0.500 0.500  0.03
U1 0.000 0.000 0.500  1.86
O1 0.264 0.529 0.294  0.00
O2 0.736 0.471 0.706  0.00
O3 0.772 0.544 0.301  -0.02
O4 0.228 0.456 0.699  -0.02
O5 0.771 0.029 0.301  -0.02
O6 0.229 0.971 0.699  -0.02
O7 0.258 0.029 0.301  -0.02
O8 0.742 0.971 0.699  -0.02

(4)
Density functional theory data (PBE) for a relaxed AlAgSn2 crystal.

For the spin magnetization, the calculation gives 0.00 μB/cell. The calculated formation energy comes out at 0.1525 eV per atom. The calculation puts the total energy at -3.497 eV per atom. As for the density of states at the Fermi level: 1.91 states/eV/f.u.

Cell lengths 3.477, 3.477, 7.495 Å; angles 90.00, 90.00, 90.00 degrees
Fractional positions:
Sn1 0.000 0.000 0.745
Sn2 0.000 0.000 0.255
Ag1 0.500 0.500 0.000
Al1 0.500 0.500 0.500

(5)
Density functional theory data (PBE) for a relaxed TaGa2Ir2 crystal.

For the spin magnetization, the calculation gives 0.00 μB/cell. The calculated formation energy comes out at -0.2247 eV per atom. The calculation puts the total energy at -7.350 eV per atom. As for the density of states at the Fermi level: 5.82 states/eV/f.u.

Cell lengths 7.314, 7.314, 2.926 Å; angles 90.00, 90.00, 90.00 degrees
Fractional positions:
Ir1 0.361 0.861 0.000
Ir2 0.861 0.639 0.000
Ir3 0.639 0.139 0.000
Ir4 0.139 0.361 0.000
Ga1 0.159 0.659 0.500
Ga2 0.659 0.841 0.500
Ga3 0.841 0.341 0.500
Ga4 0.341 0.159 0.500
Ta1 0.000 0.000 0.000
Ta2 0.500 0.500 0.000

(6)
Density functional theory data (PBE) for a relaxed MnCr2P crystal.

For the spin magnetization, the calculation gives 0.00 μB/cell. The calculated formation energy comes out at -0.1266 eV per atom. The calculation puts the total energy at -8.583 eV per atom. As for the density of states at the Fermi level: 3.83 states/eV/f.u.

Cell lengths 3.682, 2.674, 5.301 Å; angles 59.58, 90.00, 90.00 degrees
Fractional positions:
Cr1 0.000 0.013 0.989
Cr2 0.000 0.487 0.511
Mn1 0.500 0.250 0.250
P1 0.500 0.750 0.750

(7)
Density functional theory data (PBE) for a relaxed ZnSnO2 crystal.

The calculation puts the formation energy (no corrections) at -4.37 eV per formula unit. For the spin magnetization, the calculation gives 0.00 μB/cell. The calculation puts the total energy at -4.890 eV per atom. As for the density of states at the Fermi level: 0.00 states/eV/f.u.

Cell lengths 5.098, 5.098, 6.081 Å; angles 65.22, 65.22, 90.00 degrees
Fractional positions:
Zn1 0.500 0.500 0.000
Zn2 0.250 0.750 0.500
Sn1 0.000 0.000 0.000
Sn2 0.750 0.250 0.500
O1 0.570 0.125 0.250
O2 0.180 0.625 0.250
O3 0.375 0.430 0.750
O4 0.875 0.820 0.750

(8)
Density functional theory data (PBE) for a relaxed FeAgPd5 crystal.

For the spin magnetization, the calculation gives 4.68 μB/cell. The calculated formation energy comes out at 0.0762 eV per atom. The calculation puts the total energy at -5.249 eV per atom. As for the density of states at the Fermi level: 5.57 states/eV/f.u.

Cell lengths 4.038, 4.038, 6.999 Å; angles 90.00, 90.00, 90.00 degrees
Each line ends with the local moment (μB).
Fractional positions:
Fe1 0.500 0.500 0.000  3.29
Ag1 0.000 0.000 0.500  0.01
Pd1 0.000 0.500 0.787  0.31
Pd2 0.000 0.500 0.213  0.31
Pd3 0.500 0.000 0.787  0.31
Pd4 0.500 0.000 0.213  0.31
Pd5 0.500 0.500 0.500  0.13

(9)
Density functional theory data (PBE) for a relaxed HoPuTe2 crystal.

The calculation puts the formation energy (no corrections) at -4.55 eV per formula unit. For the spin magnetization, the calculation gives 5.59 μB/cell. The calculation puts the total energy at -7.437 eV per atom. As for the density of states at the Fermi level: 9.39 states/eV/f.u.

Cell lengths 4.214, 4.214, 8.162 Å; angles 75.04, 75.04, 60.00 degrees
Each line ends with the local moment (μB).
Fractional positions:
Ho1 0.497 0.497 0.508  -0.14
Pu1 0.670 0.670 0.991  5.52
Te1 0.084 0.084 0.747  -0.04
Te2 0.249 0.249 0.254  -0.05

(10)
Density functional theory data (PBE) for a relaxed BeBiPt3 crystal.

For the spin magnetization, the calculation gives 0.00 μB/cell. The calculated formation energy comes out at -0.2316 eV per atom. The calculation puts the total energy at -5.378 eV per atom. As for the density of states at the Fermi level: 1.44 states/eV/f.u.

Cell lengths 20.595, 5.311, 7.884 Å; angles 90.00, 157.23, 90.00 degrees
Fractional positions:
Be1 0.107 0.290 0.577
Be2 0.893 0.710 0.423
Be3 0.393 0.790 0.923
Be4 0.607 0.210 0.077
Bi1 0.357 0.889 0.279
Bi2 0.643 0.111 0.721
Bi3 0.143 0.389 0.221
Bi4 0.857 0.611 0.779
Pt1 0.155 0.958 0.487
Pt2 0.845 0.042 0.513
Pt3 0.345 0.458 0.013
Pt4 0.655 0.542 0.987
Pt5 0.332 0.384 0.344
Pt6 0.668 0.616 0.656
Pt7 0.168 0.884 0.156
Pt8 0.832 0.116 0.844
Pt9 0.529 0.768 0.998
Pt10 0.471 0.232 0.002
Pt11 0.971 0.268 0.502
Pt12 0.029 0.732 0.498